The following is a DFT calculation (PBE-GGA) of an optimized crystal structure of BaHg2.

V = 37.326 Å³/atom
energy of formation from the pure elements = -345 meV per atom

Geometry as CIF:
```
data_BaHg2
_space_group_name_H-M_alt 'P 1'
_space_group_IT_number 1
_cell_length_a 6.8463
_cell_length_b 6.8463
_cell_length_c 6.8463
_cell_angle_alpha 120.84
_cell_angle_beta 120.84
_cell_angle_gamma 88.55
loop_
_space_group_symop_operation_xyz
'x,y,z'
loop_
_atom_site_label
_atom_site_type_symbol
_atom_site_fract_x
_atom_site_fract_y
_atom_site_fract_z
Ba1 Ba 0.2500 0.2500 0.0000
Ba2 Ba 0.7500 0.7500 0.0000
Hg1 Hg 0.3455 0.8455 0.1910
Hg2 Hg 0.6545 0.1545 0.8090
Hg3 Hg 0.1545 0.3455 0.5000
Hg4 Hg 0.8455 0.6545 0.5000
```